Entry 1:
The following is a PBE calculation of an optimized crystal structure of Sr2AuI, from Alexandria.

Cell: 4.5524 4.5524 25.2796 Å, 90.00 90.00 120.00°
Space group R3m (No. 160, hexagonal axes)
One atom of each set of equivalent atoms:
1 Sr 0.0000 0.0000 0.0000 (multiplicity 3)
2 Sr 0.0000 0.0000 0.1991 (multiplicity 3)
3 Au 0.0000 0.0000 0.6005 (multiplicity 3)
4 I 0.0000 0.0000 0.4300 (multiplicity 3)

Values from the calculation:
crystal system	trigonal
energy above the lowest structure with this stoichiometry	0.008	eV/f.u.

=====

Entry 2:
The following is a PBE calculation of an optimized crystal structure of InOs2Au, from Alexandria.

Cell: 2.8908 2.8908 28.0721 Å, 90.00 90.00 120.00°
Space group R3m (No. 160, hexagonal axes)
One atom of each set of equivalent atoms:
1 In 0.0000 0.0000 0.0000 (multiplicity 3)
2 Os 0.0000 0.0000 0.4899 (multiplicity 3)
3 Os 0.0000 0.0000 0.7521 (multiplicity 3)
4 Au 0.0000 0.0000 0.2425 (multiplicity 3)

Values from the calculation:
crystal system	trigonal
calculated formation energy	400	meV/atom